Entry from Alexandria via LeMat-Bulk: an optimized crystal structure of Yb6Co30P19 (PBE-GGA).

Lattice parameters (Å, degrees): 14.6680 14.6680 3.5483 90.00 90.00 120.00
With the nearest neighbours (Å) after each atom.
Space group P-6 (No. 174)
Inequivalent atoms, fractional coordinates:
Yb  0.0370  0.2729  0.0000 x3  6 P 2.78-2.83, 7 Co 2.92-3.09
Yb  0.4303  0.3712  0.5000 x3  6 P 2.79-2.81, 7 Co 2.92-3.09
Co  0.0594  0.4448  0.5000 x3  4 P 2.26-2.30
Co  0.0674  0.8166  0.5000 x3  4 P 2.24-2.28, 1 Co 2.51
Co  0.1082  0.0931  0.0000 x3  5 P 2.25-2.37
Co  0.1096  0.7149  0.0000 x3  4 P 2.25-2.28, 1 Co 2.51
Co  0.1980  0.6437  0.5000 x3  3 P 2.23-2.40
Co  0.2036  0.5101  0.0000 x3  4 P 2.13-2.27
Co  0.2599  0.1314  0.5000 x3  4 P 2.25-2.28, 1 Co 2.51
Co  0.4070  0.2018  0.0000 x3  4 P 2.24-2.28, 1 Co 2.50
Co  0.4840  0.0833  0.0000 x3  4 P 2.23-2.28, 1 Co 2.50
Co  0.5588  0.2401  0.5000 x3  5 P 2.25-2.36
P  0.0162  0.1182  0.5000 x3  6 Co 2.24-2.37
P  0.0770  0.5481  0.0000 x3  7 Co 2.19-2.40
P  0.1968  0.4109  0.5000 x3  7 Co 2.23-2.30
P  0.2717  0.2345  0.0000 x3  7 Co 2.25-2.28
P  0.3333  0.6667  0.0000 x1  3 Co 2.13
P  0.3958  0.0993  0.5000 x3  7 Co 2.25-2.28
P  0.5645  0.3493  0.0000 x3  6 Co 2.23-2.36

Output
ΔE_f   -780 meV per atom
DFT total energy   -368.000 eV per formula unit